(1)
First-principles (PBE) data for a relaxed YBr crystal, as listed in the Alexandria database.

Properties
Energy relative to the elements, uncorrected in eV/atom: -1.18
Size of the total moment in μB per atom: 0.34

Cell lengths 3.798, 3.798, 10.569 Å; angles 90.00, 90.00, 120.00 degrees
Positions (direct):
Y  0.333  0.667  0.134
Y  0.667  0.333  0.866
Br  0.333  0.667  0.682
Br  0.667  0.333  0.318


(2)
First-principles (PBE) data for a relaxed YBi2Pd7 crystal, as listed in the Alexandria database.

Properties
DFT formation energy in eV per atom: -0.450
Size of the total moment in μB per atom: 0.00
Energy above the most stable polymorph in this dataset in kcal/mol of atoms: 0.00

Cell lengths 12.245, 12.245, 12.245 Å; angles 160.77, 160.77, 27.33 degrees
Positions (direct):
Y  0.000  0.000  0.000
Bi  0.332  0.332  0.000
Bi  0.668  0.668  0.000
Pd  0.088  0.588  0.500
Pd  0.250  0.750  0.500
Pd  0.412  0.912  0.500
Pd  0.500  0.500  0.000
Pd  0.588  0.088  0.500
Pd  0.750  0.250  0.500
Pd  0.912  0.412  0.500


(3)
First-principles (PBE) data for a relaxed Mg2CdSn crystal, as listed in the Alexandria database.

Properties
DFT formation energy in eV per atom: 0.074
Size of the total moment in μB per atom: 0.00

Cell lengths 4.114, 4.114, 21.303 Å; angles 90.00, 90.00, 120.00 degrees
Positions (direct):
Mg  0.000  0.000  0.000
Mg  0.000  0.000  0.170
Mg  0.333  0.667  0.667
Mg  0.333  0.667  0.836
Mg  0.667  0.333  0.333
Mg  0.667  0.333  0.503
Cd  0.000  0.000  0.585
Cd  0.333  0.667  0.251
Cd  0.667  0.333  0.918
Sn  0.000  0.000  0.420
Sn  0.333  0.667  0.086
Sn  0.667  0.333  0.753


(4)
First-principles (PBE) data for a relaxed CaCu2Au crystal, as listed in the Alexandria database.

Properties
DFT formation energy in eV per atom: -0.277
Size of the total moment in μB per atom: 0.00
Energy above the most stable polymorph in this dataset in kcal/mol of atoms: 0.00

Cell lengths 7.451, 4.303, 5.565 Å; angles 90.00, 116.68, 90.00 degrees
Positions (direct):
Ca  0.000  0.000  0.000
Ca  0.500  0.500  0.000
Cu  0.022  0.500  0.564
Cu  0.200  0.000  0.600
Cu  0.522  0.000  0.564
Cu  0.700  0.500  0.600
Au  0.295  0.500  0.387
Au  0.795  0.000  0.387


(5)
First-principles (PBE) data for a relaxed CeAlZn6Cu crystal, as listed in the Alexandria database.

Properties
DFT formation energy in eV per atom: 0.058
Size of the total moment in μB per atom: 0.12

Cell lengths 7.879, 7.879, 7.879 Å; angles 129.56, 111.42, 89.88 degrees
Positions (direct):
Ce  0.454  0.204  0.250
Ce  0.546  0.796  0.750
Al  0.000  0.000  0.500
Al  0.000  0.500  0.000
Zn  0.125  0.432  0.311
Zn  0.125  0.814  0.693
Zn  0.173  0.923  0.250
Zn  0.248  0.498  0.750
Zn  0.379  0.186  0.811
Zn  0.379  0.568  0.193
Zn  0.621  0.432  0.807
Zn  0.621  0.814  0.189
Zn  0.752  0.502  0.250
Zn  0.827  0.077  0.750
Zn  0.875  0.186  0.307
Zn  0.875  0.568  0.689
Cu  0.000  0.000  0.000
Cu  0.500  0.000  0.500


(6)
First-principles (PBE) data for a relaxed Eu2CdSn crystal, as listed in the Alexandria database.

Properties
DFT formation energy in eV per atom: -0.311
Size of the total moment in μB per atom: 3.75

Cell lengths 3.857, 3.857, 30.427 Å; angles 90.00, 90.00, 120.00 degrees
Positions (direct):
Eu  0.000  0.000  0.248
Eu  0.000  0.000  0.752
Eu  0.333  0.667  0.419
Eu  0.333  0.667  0.915
Eu  0.667  0.333  0.085
Eu  0.667  0.333  0.581
Cd  0.000  0.000  0.000
Cd  0.333  0.667  0.667
Cd  0.667  0.333  0.333
Sn  0.000  0.000  0.500
Sn  0.333  0.667  0.167
Sn  0.667  0.333  0.833


(7)
First-principles (PBE) data for a relaxed Zr4Hg2H crystal, as listed in the Alexandria database.

Properties
Size of the total moment in μB per atom: 0.00
Energy above the most stable polymorph in this dataset in kcal/mol of atoms: 0.00

Cell lengths 5.754, 5.769, 8.722 Å; angles 90.00, 108.21, 90.00 degrees
Positions (direct):
Zr  0.153  0.250  0.053
Zr  0.229  0.502  0.690
Zr  0.229  0.998  0.690
Zr  0.267  0.750  0.319
Zr  0.733  0.250  0.681
Zr  0.771  0.002  0.310
Zr  0.771  0.498  0.310
Zr  0.847  0.750  0.947
Hg  0.296  0.250  0.397
Hg  0.381  0.750  0.017
Hg  0.619  0.250  0.983
Hg  0.704  0.750  0.603
H  0.092  0.250  0.807
H  0.908  0.750  0.193


(8)
First-principles (PBE) data for a relaxed Pr2Dy3Y6Th crystal, as listed in the Alexandria database.

Properties
DFT formation energy in eV per atom: 0.032
Size of the total moment in μB per atom: 0.00

Cell lengths 6.231, 6.231, 11.843 Å; angles 95.03, 95.03, 119.96 degrees
Positions (direct):
Pr  0.167  0.833  0.000
Pr  0.833  0.167  0.000
Dy  0.000  0.000  0.500
Dy  0.333  0.667  0.500
Dy  0.667  0.333  0.500
Y  0.086  0.416  0.749
Y  0.255  0.255  0.252
Y  0.416  0.086  0.749
Y  0.584  0.914  0.251
Y  0.745  0.745  0.748
Y  0.914  0.584  0.251
Th  0.500  0.500  0.000


(9)
First-principles (PBE) data for a relaxed BaAlWS crystal, as listed in the Alexandria database.

Properties
Energy relative to the elements, uncorrected in eV/atom: -0.09
Size of the total moment in μB per atom: 0.00
Energy above the most stable polymorph in this dataset in kcal/mol of atoms: 2.20

Cell lengths 9.408, 3.255, 6.478 Å; angles 90.00, 107.79, 90.00 degrees
Positions (direct):
Ba  0.000  0.000  0.000
Ba  0.500  0.500  0.000
Al  0.191  0.000  0.593
Al  0.691  0.500  0.593
W  0.449  0.000  0.486
W  0.949  0.500  0.486
S  0.276  0.500  0.292
S  0.776  0.000  0.292


(10)
First-principles (PBE) data for a relaxed Pr2Sm6Tm crystal, as listed in the Alexandria database.

Properties
DFT formation energy in eV per atom: 0.087
Size of the total moment in μB per atom: 0.00
Energy above the most stable polymorph in this dataset in kcal/mol of atoms: 0.91

Cell lengths 10.216, 10.216, 6.211 Å; angles 95.34, 95.34, 70.61 degrees
Positions (direct):
Pr  0.067  0.270  0.073
Pr  0.270  0.067  0.573
Pr  0.730  0.933  0.427
Pr  0.933  0.730  0.927
Sm  0.093  0.811  0.487
Sm  0.156  0.427  0.646
Sm  0.189  0.907  0.013
Sm  0.247  0.526  0.179
Sm  0.427  0.156  0.146
Sm  0.474  0.753  0.321
Sm  0.526  0.247  0.679
Sm  0.573  0.844  0.854
Sm  0.753  0.474  0.821
Sm  0.811  0.093  0.987
Sm  0.844  0.573  0.354
Sm  0.907  0.189  0.513
Tm  0.401  0.599  0.750
Tm  0.599  0.401  0.250


(11)
First-principles (PBE) data for a relaxed ZrBeSi3 crystal, as listed in the Alexandria database.

Properties
Energy relative to the elements, uncorrected in eV/atom: 0.47
Size of the total moment in μB per atom: 0.00
Energy above the most stable polymorph in this dataset in kcal/mol of atoms: 0.00

Cell lengths 4.308, 4.308, 4.308 Å; angles 90.00, 90.00, 90.00 degrees
Positions (direct):
Zr  0.000  0.000  0.000
Be  0.500  0.500  0.500
Si  0.000  0.500  0.500
Si  0.500  0.000  0.500
Si  0.500  0.500  0.000


(12)
First-principles (PBE) data for a relaxed RbBa2Re2N6 crystal, as listed in the Alexandria database.

Properties
Energy relative to the elements, uncorrected in eV/atom: -0.32
Size of the total moment in μB per atom: 0.09

Cell lengths 6.551, 6.637, 7.422 Å; angles 65.28, 64.69, 66.67 degrees
Positions (direct):
Rb  0.000  0.000  0.000
Ba  0.242  0.246  0.327
Ba  0.758  0.754  0.673
Re  0.490  0.670  0.320
Re  0.510  0.330  0.680
N  0.183  0.793  0.354
N  0.351  0.454  0.893
N  0.386  0.136  0.677
N  0.614  0.864  0.323
N  0.649  0.546  0.107
N  0.817  0.207  0.646


(13)
First-principles (PBE) data for a relaxed Li2CrAu crystal, as listed in the Alexandria database.

Properties
DFT formation energy in eV per atom: 0.052
Size of the total moment in μB per atom: 1.11
Energy above the most stable polymorph in this dataset in kcal/mol of atoms: 1.86

Cell lengths 2.948, 3.993, 5.642 Å; angles 90.00, 90.00, 90.00 degrees
Positions (direct):
Li  0.000  0.000  0.000
Li  0.500  0.500  0.255
Cr  0.500  0.500  0.732
Au  0.000  0.000  0.497


(14)
First-principles (PBE) data for a relaxed HfRe2Hg crystal, as listed in the Alexandria database.

Properties
DFT formation energy in eV per atom: 1.106
Size of the total moment in μB per atom: 0.00

Cell lengths 7.524, 7.524, 5.475 Å; angles 90.00, 90.00, 90.00 degrees
Positions (direct):
Hf  0.000  0.000  0.000
Hf  0.000  0.500  0.250
Hf  0.500  0.000  0.750
Hf  0.500  0.500  0.500
Re  0.243  0.250  0.125
Re  0.250  0.743  0.375
Re  0.250  0.757  0.875
Re  0.257  0.250  0.625
Re  0.743  0.750  0.625
Re  0.750  0.243  0.875
Re  0.750  0.257  0.375
Re  0.757  0.750  0.125
Hg  0.000  0.000  0.500
Hg  0.000  0.500  0.750
Hg  0.500  0.000  0.250
Hg  0.500  0.500  0.000


(15)
First-principles (PBE) data for a relaxed Th3InPt12 crystal, as listed in the Alexandria database.

Properties
DFT formation energy in eV per atom: -0.937
Size of the total moment in μB per atom: 0.00

Cell lengths 4.203, 4.203, 16.676 Å; angles 90.00, 90.00, 90.00 degrees
Positions (direct):
Th  0.000  0.000  0.000
Th  0.000  0.000  0.258
Th  0.000  0.000  0.742
In  0.000  0.000  0.500
Pt  0.000  0.500  0.127
Pt  0.000  0.500  0.381
Pt  0.000  0.500  0.619
Pt  0.000  0.500  0.873
Pt  0.500  0.000  0.127
Pt  0.500  0.000  0.381
Pt  0.500  0.000  0.619
Pt  0.500  0.000  0.873
Pt  0.500  0.500  0.000
Pt  0.500  0.500  0.255
Pt  0.500  0.500  0.500
Pt  0.500  0.500  0.745


(16)
First-principles (PBE) data for a relaxed CoNiHg2 crystal, as listed in the Alexandria database.

Properties
DFT formation energy in eV per atom: 0.411
Size of the total moment in μB per atom: 0.48
Energy above the most stable polymorph in this dataset in kcal/mol of atoms: 2.39

Cell lengths 3.004, 4.221, 5.381 Å; angles 90.00, 105.69, 90.00 degrees
Positions (direct):
Co  0.000  0.000  0.000
Ni  0.873  0.500  0.746
Hg  0.279  0.000  0.553
Hg  0.594  0.500  0.191


(17)
First-principles (PBE) data for a relaxed LiRhOF2 crystal, as listed in the Alexandria database.

Properties
Energy relative to the elements, uncorrected in eV/atom: -1.34
Size of the total moment in μB per atom: 0.02
Energy above the most stable polymorph in this dataset in kcal/mol of atoms: 0.00

Cell lengths 4.339, 4.339, 3.738 Å; angles 90.00, 90.00, 90.00 degrees
Positions (direct):
Li  0.000  0.000  0.000
Rh  0.500  0.500  0.500
O  0.500  0.500  0.000
F  0.000  0.500  0.500
F  0.500  0.000  0.500


(18)
First-principles (PBE) data for a relaxed PmPr2DyTl2 crystal, as listed in the Alexandria database.

Properties
DFT formation energy in eV per atom: -0.271
Size of the total moment in μB per atom: 0.00

Cell lengths 5.221, 10.290, 6.965 Å; angles 90.00, 90.00, 90.00 degrees
Positions (direct):
Pm  0.000  0.044  0.000
Pm  0.000  0.956  0.500
Pr  0.000  0.316  0.369
Pr  0.000  0.684  0.869
Pr  0.500  0.454  0.098
Pr  0.500  0.546  0.598
Dy  0.500  0.186  0.719
Dy  0.500  0.814  0.219
Tl  0.000  0.355  0.837
Tl  0.000  0.645  0.337
Tl  0.500  0.125  0.260
Tl  0.500  0.875  0.760


(19)
First-principles (PBE) data for a relaxed NdCu2Ni3 crystal, as listed in the Alexandria database.

Properties
DFT formation energy in eV per atom: -0.034
Size of the total moment in μB per atom: 0.00

Cell lengths 8.338, 8.338, 8.338 Å; angles 35.96, 35.96, 35.96 degrees
Positions (direct):
Nd  0.205  0.205  0.205
Nd  0.795  0.795  0.795
Cu  0.000  0.000  0.000
Cu  0.000  0.500  0.500
Cu  0.500  0.000  0.500
Cu  0.500  0.500  0.000
Ni  0.247  0.748  0.748
Ni  0.252  0.252  0.753
Ni  0.252  0.753  0.252
Ni  0.748  0.247  0.748
Ni  0.748  0.748  0.247
Ni  0.753  0.252  0.252


(20)
First-principles (PBE) data for a relaxed PrNi4Rh crystal, as listed in the Alexandria database.

Properties
DFT formation energy in eV per atom: -0.035
Size of the total moment in μB per atom: 0.25
Energy above the most stable polymorph in this dataset in kcal/mol of atoms: 2.14

Cell lengths 7.841, 7.841, 6.215 Å; angles 90.00, 90.00, 151.60 degrees
Positions (direct):
Pr  0.111  0.889  0.750
Pr  0.889  0.111  0.250
Ni  0.076  0.924  0.250
Ni  0.340  0.660  0.567
Ni  0.340  0.660  0.933
Ni  0.500  0.500  0.000
Ni  0.500  0.500  0.500
Ni  0.660  0.340  0.067
Ni  0.660  0.340  0.433
Ni  0.924  0.076  0.750
Rh  0.239  0.761  0.250
Rh  0.761  0.239  0.750


(21)
First-principles (PBE) data for a relaxed YTeSe crystal, as listed in the Alexandria database.

Properties
Energy relative to the elements, uncorrected in eV/atom: -1.30
Size of the total moment in μB per atom: 0.00
Energy above the most stable polymorph in this dataset in kcal/mol of atoms: 2.65

Cell lengths 4.291, 4.291, 17.384 Å; angles 90.00, 90.00, 90.00 degrees
Positions (direct):
Y  0.000  0.000  0.151
Y  0.000  0.000  0.849
Y  0.500  0.500  0.349
Y  0.500  0.500  0.651
Te  0.000  0.500  0.000
Te  0.000  0.500  0.500
Te  0.500  0.000  0.000
Te  0.500  0.000  0.500
Se  0.000  0.000  0.315
Se  0.000  0.000  0.685
Se  0.500  0.500  0.185
Se  0.500  0.500  0.815


(22)
First-principles (PBE) data for a relaxed Sr2TlGe3Pd4 crystal, as listed in the Alexandria database.

Properties
DFT formation energy in eV per atom: -0.613
Size of the total moment in μB per atom: 0.00

Cell lengths 4.491, 4.491, 10.614 Å; angles 90.00, 90.00, 90.00 degrees
Positions (direct):
Sr  0.000  0.500  0.242
Sr  0.500  0.000  0.758
Tl  0.000  0.000  0.500
Ge  0.000  0.500  0.886
Ge  0.500  0.000  0.114
Ge  0.500  0.500  0.500
Pd  0.000  0.000  0.000
Pd  0.000  0.500  0.652
Pd  0.500  0.000  0.348
Pd  0.500  0.500  0.000


(23)
First-principles (PBE) data for a relaxed TiNbCuRe2 crystal, as listed in the Alexandria database.

Properties
DFT formation energy in eV per atom: 1.968
Size of the total moment in μB per atom: 0.09

Cell lengths 4.729, 4.729, 4.710 Å; angles 90.00, 90.00, 90.00 degrees
Positions (direct):
Ti  0.000  0.000  0.000
Nb  0.000  0.000  0.500
Cu  0.500  0.500  0.000
Re  0.000  0.500  0.500
Re  0.500  0.000  0.500


(24)
First-principles (PBE) data for a relaxed ZnCdHPd2 crystal, as listed in the Alexandria database.

Properties
Size of the total moment in μB per atom: 0.00
Energy above the most stable polymorph in this dataset in kcal/mol of atoms: 0.95

Cell lengths 4.032, 4.032, 4.158 Å; angles 90.00, 90.00, 90.00 degrees
Positions (direct):
Zn  0.000  0.000  0.000
Cd  0.500  0.500  0.000
H  0.500  0.500  0.500
Pd  0.000  0.500  0.500
Pd  0.500  0.000  0.500